Compound: AcNdY3Er
Source: Alexandria
Functional: PBE
Structure: optimized geometry

Cell: 20.213 5.731 7.316 Å, 90.00 90.13 90.00°
Space group C2/m (No. 12)
Unique sites:
Ac  0.145  0.000  0.030 [4 per cell]
Nd  0.054  0.500  0.287 [4 per cell]
Y  0.022  0.000  0.725 [4 per cell]
Y  0.165  0.500  0.724 [4 per cell]
Y  0.219  0.500  0.254 [4 per cell]
Er  0.151  0.000  0.467 [4 per cell]

Values from the calculation:
ΔE_f = 223 meV/atom

Compound: LiLa2CdH
Source: Alexandria
Functional: PBE
Structure: optimized geometry

Cell: 5.276 5.276 4.181 Å, 90.00 90.00 90.00°
Space group P4/mmm (No. 123)
Unique sites:
Li  0.000  0.000  0.000 [1 per cell]
La  0.000  0.500  0.500 [2 per cell]
Cd  0.500  0.500  0.000 [1 per cell]
H  0.000  0.000  0.500 [1 per cell]

Compound: Ce5Sb2As2
Source: Alexandria
Functional: PBE
Structure: optimized geometry

Cell: 15.570 8.082 8.105 Å, 90.00 90.00 90.00°
Space group Cmce (No. 64)
Unique sites:
Ce  0.000  0.000  0.000 [4 per cell]
Ce  0.127  0.160  0.340 [16 per cell]
Sb  0.204  0.000  0.000 [8 per cell]
As  0.000  0.145  0.645 [8 per cell]

Values from the calculation:
Formation energy from raw total energies = -1042 meV per atom

Asked for uncorrected energy across the records above, the calculation gives -125.98, -17.56, -226.36 eV per cell in order.